# 1
Computed, not measured: crystalline Na2Dy2B2TeO10 at its relaxed geometry at the GGA-PBE level of DFT.

## Properties
- V: 11.9 Å³/atom
- SG: P2_1/c
- Magnetic moment: 0.01 μB/f.u.
- Mass density: 5.6 g/cm3
- Final energy: -119.35 eV per formula unit

a b c (Å): 6.275 9.948 6.716
angles (deg): 90.00 104.29 90.00
Fractional coordinates of all 34 atoms:
B: 0.662 0.601 0.126
B: 0.338 0.101 0.374
B: 0.662 0.899 0.626
B: 0.338 0.399 0.874
Dy: 0.126 0.667 0.023
Dy: 0.874 0.167 0.477
Dy: 0.126 0.833 0.523
Dy: 0.874 0.333 0.977
Na: 0.585 0.890 0.165
Na: 0.415 0.390 0.335
Na: 0.585 0.610 0.665
Na: 0.415 0.110 0.835
O: 0.799 0.560 0.007
O: 0.481 0.676 0.051
O: 0.835 0.116 0.135
O: 0.295 0.061 0.165
O: 0.989 0.849 0.177
O: 0.011 0.349 0.323
O: 0.705 0.561 0.335
O: 0.165 0.616 0.365
O: 0.519 0.176 0.449
O: 0.201 0.060 0.493
O: 0.799 0.940 0.507
O: 0.481 0.824 0.551
O: 0.835 0.384 0.635
O: 0.295 0.439 0.665
O: 0.989 0.651 0.677
O: 0.011 0.151 0.823
O: 0.705 0.939 0.835
O: 0.165 0.884 0.865
O: 0.519 0.324 0.949
O: 0.201 0.440 0.993
Te: 0.000 0.000 0.000
Te: 0.000 0.500 0.500

=====

# 2
Computed, not measured: crystalline DyNbB at its relaxed geometry at the GGA-PBE level of DFT.

## Properties
- Energy above the most stable polymorph in this dataset: 0.000 eV/atom
- V: 17.8 Å³/atom
- SG: F-43m
- Magnetic moment: 0.00 μB/f.u.
- Mass density: 8.3 g/cm3

a b c (Å): 4.224 4.224 4.224
angles (deg): 60.00 60.00 60.00
Fractional coordinates of all 3 atoms:
B: 0.000 0.000 0.000
Dy: 0.750 0.750 0.750
Nb: 0.250 0.250 0.250

=====

Copy entry 1 word for word.
Computed, not measured: crystalline Na2Dy2B2TeO10 at its relaxed geometry at the GGA-PBE level of DFT.

## Properties
- V: 11.9 Å³/atom
- SG: P2_1/c
- Magnetic moment: 0.01 μB/f.u.
- Mass density: 5.6 g/cm3
- Final energy: -119.35 eV per formula unit

a b c (Å): 6.275 9.948 6.716
angles (deg): 90.00 104.29 90.00
Fractional coordinates of all 34 atoms:
B: 0.662 0.601 0.126
B: 0.338 0.101 0.374
B: 0.662 0.899 0.626
B: 0.338 0.399 0.874
Dy: 0.126 0.667 0.023
Dy: 0.874 0.167 0.477
Dy: 0.126 0.833 0.523
Dy: 0.874 0.333 0.977
Na: 0.585 0.890 0.165
Na: 0.415 0.390 0.335
Na: 0.585 0.610 0.665
Na: 0.415 0.110 0.835
O: 0.799 0.560 0.007
O: 0.481 0.676 0.051
O: 0.835 0.116 0.135
O: 0.295 0.061 0.165
O: 0.989 0.849 0.177
O: 0.011 0.349 0.323
O: 0.705 0.561 0.335
O: 0.165 0.616 0.365
O: 0.519 0.176 0.449
O: 0.201 0.060 0.493
O: 0.799 0.940 0.507
O: 0.481 0.824 0.551
O: 0.835 0.384 0.635
O: 0.295 0.439 0.665
O: 0.989 0.651 0.677
O: 0.011 0.151 0.823
O: 0.705 0.939 0.835
O: 0.165 0.884 0.865
O: 0.519 0.324 0.949
O: 0.201 0.440 0.993
Te: 0.000 0.000 0.000
Te: 0.000 0.500 0.500

=====

Repeat the second record exactly.
Computed, not measured: crystalline DyNbB at its relaxed geometry at the GGA-PBE level of DFT.

## Properties
- Energy above the most stable polymorph in this dataset: 0.000 eV/atom
- V: 17.8 Å³/atom
- SG: F-43m
- Magnetic moment: 0.00 μB/f.u.
- Mass density: 8.3 g/cm3

a b c (Å): 4.224 4.224 4.224
angles (deg): 60.00 60.00 60.00
Fractional coordinates of all 3 atoms:
B: 0.000 0.000 0.000
Dy: 0.750 0.750 0.750
Nb: 0.250 0.250 0.250

=====

What is the formula in the second record?
DyNbB

=====

Please write out number 1 again, unchanged.
Computed, not measured: crystalline Na2Dy2B2TeO10 at its relaxed geometry at the GGA-PBE level of DFT.

## Properties
- V: 11.9 Å³/atom
- SG: P2_1/c
- Magnetic moment: 0.01 μB/f.u.
- Mass density: 5.6 g/cm3
- Final energy: -119.35 eV per formula unit

a b c (Å): 6.275 9.948 6.716
angles (deg): 90.00 104.29 90.00
Fractional coordinates of all 34 atoms:
B: 0.662 0.601 0.126
B: 0.338 0.101 0.374
B: 0.662 0.899 0.626
B: 0.338 0.399 0.874
Dy: 0.126 0.667 0.023
Dy: 0.874 0.167 0.477
Dy: 0.126 0.833 0.523
Dy: 0.874 0.333 0.977
Na: 0.585 0.890 0.165
Na: 0.415 0.390 0.335
Na: 0.585 0.610 0.665
Na: 0.415 0.110 0.835
O: 0.799 0.560 0.007
O: 0.481 0.676 0.051
O: 0.835 0.116 0.135
O: 0.295 0.061 0.165
O: 0.989 0.849 0.177
O: 0.011 0.349 0.323
O: 0.705 0.561 0.335
O: 0.165 0.616 0.365
O: 0.519 0.176 0.449
O: 0.201 0.060 0.493
O: 0.799 0.940 0.507
O: 0.481 0.824 0.551
O: 0.835 0.384 0.635
O: 0.295 0.439 0.665
O: 0.989 0.651 0.677
O: 0.011 0.151 0.823
O: 0.705 0.939 0.835
O: 0.165 0.884 0.865
O: 0.519 0.324 0.949
O: 0.201 0.440 0.993
Te: 0.000 0.000 0.000
Te: 0.000 0.500 0.500